Material: Tl3H2Cl3
Method: DFT, PBE
State: optimized geometry

symmetry: P-1 (2)
V: 25.158 Å³/atom
electronic total energy: -2.8775 eV/atom

abc: 3.911 5.927 9.941
angles: 72.68 67.36 90.12
Fractional coordinates of all 8 atoms:
Cl 0.701 0.347 0.305
Tl 0.500 0.500 0.000
H 0.169 0.828 0.343
Tl 0.677 0.833 0.334
H 0.831 0.172 0.657
Cl 0.299 0.653 0.695
Tl 0.323 0.167 0.666
Cl 0.000 0.000 0.000



Material: Tl5H2Cl4
Method: DFT, PBE
State: optimized geometry

symmetry: C2/m (12)
V: 30.588 Å³/atom
electronic total energy: -2.8636 eV/atom

abc: 4.427 9.056 11.998
angles: 133.67 100.63 90.00
Fractional coordinates of all 11 atoms:
Cl 0.721 0.749 0.441
Tl 0.132 0.764 0.264
Tl 0.500 0.000 0.000
Tl 0.178 0.410 0.356
Cl 0.986 0.732 0.973
Cl 0.014 0.268 0.027
Tl 0.822 0.590 0.644
H 0.313 0.653 0.626
Tl 0.868 0.236 0.736
Cl 0.279 0.251 0.559
H 0.687 0.347 0.374



Material: Tl3H8Cl
Method: DFT, PBE
State: optimized geometry

symmetry: Cm (8)
V: 18.827 Å³/atom
electronic total energy: -3.0810 eV/atom

abc: 8.880 5.508 8.623
angles: 80.81 39.38 101.60
Fractional coordinates of all 12 atoms:
Cl 0.902 0.000 0.143
H 0.559 0.510 0.291
H 0.458 0.371 0.346
H 0.088 0.629 0.717
H 0.954 0.000 0.784
H 0.048 0.490 0.801
Tl 0.210 0.343 0.144
H 0.449 0.000 0.191
Tl 0.867 0.657 0.487
H 0.540 0.000 0.184
H 0.959 0.000 0.692
Tl 0.465 0.000 0.721



Material: TlHCl3
Method: DFT, PBE
State: optimized geometry

symmetry: Pm-3m (221)
V: 19.859 Å³/atom
polymorph energy (0 for the lowest one): 0.017 eV/atom

abc: 4.631 4.631 4.631
angles: 90.00 90.00 90.00
Fractional coordinates of all 5 atoms:
Tl 0.500 0.500 0.500
Cl 0.500 0.000 0.000
Cl 0.000 0.500 0.000
Cl 0.000 0.000 0.500
H 0.000 0.000 0.000



Material: TlHCl4
Method: DFT, PBE
State: optimized geometry

symmetry: C2/c (15)
V: 30.474 Å³/atom
electronic total energy: -2.7669 eV/atom

abc: 6.788 9.587 9.543
angles: 102.90 87.80 141.67
Fractional coordinates of all 12 atoms:
Tl 0.805 0.055 0.111
H 0.402 0.652 0.304
Cl 0.045 0.422 0.315
H 0.598 0.348 0.696
Cl 0.387 0.292 0.103
Tl 0.195 0.945 0.889
Cl 0.230 0.107 0.685
Cl 0.955 0.578 0.685
Cl 0.785 0.189 0.897
Cl 0.613 0.708 0.897
Cl 0.215 0.811 0.103
Cl 0.770 0.893 0.315



Material: TlHCl3
Method: DFT, PBE
State: optimized geometry

symmetry: I-4m2 (119)
V: 37.050 Å³/atom
polymorph energy (0 for the lowest one): 0.130 eV/atom

abc: 5.742 5.742 11.950
angles: 103.90 103.90 90.00
Site moments in Bohr magnetons follow the coordinates.
Fractional coordinates of all 10 atoms:
H 0.642 0.142 0.283  0.38
Cl 0.180 0.914 0.828  -0.05
Cl 0.086 0.820 0.172  -0.05
Tl 0.250 0.750 0.500  0.00
Cl 0.086 0.352 0.172  -0.05
Cl 0.648 0.914 0.828  -0.05
Tl 0.000 0.000 0.000  0.00
Cl 0.746 0.746 0.493  0.01
Cl 0.254 0.254 0.507  0.01
H 0.858 0.358 0.717  0.38